# 1
Below is crystalline KTaMn at its relaxed geometry, with properties calculated at the PBE level.

Results
The calculation puts the offset from the most stable computed form at 1841 meV/atom. The value obtained for the total magnetization is 3.31 μB/cell. The total energy comes out at -4.70 eV/atom. As for the crystal system: cubic. As for the formation energy: 2.67 eV/atom. Its density of states at the Fermi level is 1.670 states/eV per atom.

Unit cell a=7.1159 b=7.1159 c=7.1159 alpha=90.00 beta=90.00 gamma=90.00
With the nearest neighbours (Å) after each atom.
Positions (direct):
K 0.0000 0.0000 0.0000  4 Mn 3.08, 4 Ta 3.08
K 0.0000 0.5000 0.5000  4 Mn 3.08, 4 Ta 3.08
K 0.5000 0.0000 0.5000  4 Mn 3.08, 4 Ta 3.08
K 0.5000 0.5000 0.0000  4 Mn 3.08, 4 Ta 3.08
Ta 0.2500 0.2500 0.2500  4 K 3.08
Ta 0.2500 0.7500 0.7500  4 K 3.08
Ta 0.7500 0.2500 0.7500  4 K 3.08
Ta 0.7500 0.7500 0.2500  4 K 3.08
Mn 0.2500 0.2500 0.7500  4 K 3.08
Mn 0.2500 0.7500 0.2500  4 K 3.08
Mn 0.7500 0.2500 0.2500  4 K 3.08
Mn 0.7500 0.7500 0.7500  4 K 3.08



# 2
Below is crystalline Sm4TlTe3 at its relaxed geometry, with properties calculated at the PBE level.

Results
The calculation puts the offset from the most stable computed form at 0 meV/atom. The value obtained for the total magnetization is 0.00 μB/cell. Its formation energy from raw total energies is -1.174 eV per atom. The total energy comes out at -5.01 eV/atom. As for the crystal system: tetragonal. Its density of states at the Fermi level is 0.322 states/eV per atom.

Unit cell a=6.3056 b=6.3056 c=12.5962 alpha=90.00 beta=90.00 gamma=90.00
With the nearest neighbours (Å) after each atom.
Positions (direct):
Sm 0.0000 0.0000 0.2475  1 Tl 3.12, 5 Te 3.15-3.18
Sm 0.0000 0.0000 0.7525  1 Tl 3.12, 5 Te 3.15-3.18
Sm 0.0000 0.5000 0.0000  4 Te 3.15, 2 Tl 3.15
Sm 0.0000 0.5000 0.5000  4 Te 3.15, 2 Tl 3.15
Sm 0.5000 0.0000 0.0000  4 Te 3.15, 2 Tl 3.15
Sm 0.5000 0.0000 0.5000  4 Te 3.15, 2 Tl 3.15
Sm 0.5000 0.5000 0.2525  1 Tl 3.12, 5 Te 3.15-3.18
Sm 0.5000 0.5000 0.7475  1 Tl 3.12, 5 Te 3.15-3.18
Tl 0.0000 0.0000 0.0000  6 Sm 3.12-3.15
Tl 0.5000 0.5000 0.5000  6 Sm 3.12-3.15
Te 0.0000 0.0000 0.5000  6 Sm 3.15-3.18
Te 0.0000 0.5000 0.2500  6 Sm 3.15
Te 0.0000 0.5000 0.7500  6 Sm 3.15
Te 0.5000 0.0000 0.2500  6 Sm 3.15
Te 0.5000 0.0000 0.7500  6 Sm 3.15
Te 0.5000 0.5000 0.0000  6 Sm 3.15-3.18



# 3
Below is crystalline Cu3SnAs at its relaxed geometry, with properties calculated at the PBE level.

Results
The calculation puts the offset from the most stable computed form at 593 meV/atom. The value obtained for the total magnetization is 0.00 μB/cell. The total energy comes out at -3.23 eV/atom. As for the crystal system: cubic. As for the formation energy: 0.96 eV/atom. Its density of states at the Fermi level is 0.705 states/eV per atom.

Unit cell a=4.8068 b=4.8068 c=4.8068 alpha=90.00 beta=90.00 gamma=90.00
With the nearest neighbours (Å) after each atom.
Positions (direct):
Cu 0.0000 0.0000 0.5000  2 Sn 2.40
Cu 0.0000 0.5000 0.0000  2 Sn 2.40
Cu 0.5000 0.0000 0.0000  2 Sn 2.40
Sn 0.0000 0.0000 0.0000  6 Cu 2.40
As 0.5000 0.5000 0.5000  12 Cu 3.40



# 4
Below is crystalline BaAs2Ru at its relaxed geometry, with properties calculated at the PBE level.

Results
The value obtained for the total magnetization is 1.06 μB/cell. The total energy comes out at -4.71 eV/atom. As for the crystal system: tetragonal. As for the formation energy: 0.42 eV/atom. Its density of states at the Fermi level is 1.053 states/eV per atom.

Unit cell a=4.5401 b=4.5401 c=8.7080 alpha=90.00 beta=90.00 gamma=90.00
With the nearest neighbours (Å) after each atom.
Positions (direct):
Ba 0.0000 0.0000 0.0000  8 As 3.15-3.21, 4 Ru 3.15
Ba 0.5000 0.5000 0.5000  8 As 3.15-3.21, 4 Ru 3.15
As 0.0000 0.0000 0.5000  4 As 3.15, 4 Ru 3.15, 4 Ba 3.21
As 0.0000 0.5000 0.2500  4 Ba 3.15, 4 As 3.15, 4 Ru 3.21
As 0.5000 0.0000 0.7500  4 Ba 3.15, 4 As 3.15, 4 Ru 3.21
As 0.5000 0.5000 0.0000  4 As 3.15, 4 Ru 3.15, 4 Ba 3.21
Ru 0.0000 0.5000 0.7500  4 Ba 3.15, 8 As 3.15-3.21
Ru 0.5000 0.0000 0.2500  4 Ba 3.15, 8 As 3.15-3.21



# 5
Below is crystalline NaCaAs2O6 at its relaxed geometry, with properties calculated at the PBE level.

Results
The value obtained for the total magnetization is 0.00 μB/cell. Its formation energy from raw total energies is -1.718 eV per atom. The total energy comes out at -5.95 eV/atom. As for the crystal system: monoclinic. Its density of states at the Fermi level is 0.173 states/eV per atom.

Unit cell a=7.2027 b=7.2027 c=6.2669 alpha=105.86 beta=105.86 gamma=84.14
With the nearest neighbours (Å) after each atom.
Positions (direct):
Na 0.2175 0.7825 0.7500  6 O 2.49-2.66
Na 0.7825 0.2175 0.2500  6 O 2.49-2.66
Ca 0.3986 0.6014 0.2500  6 O 2.29-2.42
Ca 0.6014 0.3986 0.7500  6 O 2.29-2.42
As 0.1200 0.2894 0.7306  4 O 1.71-1.87
As 0.2894 0.1200 0.2306  4 O 1.71-1.87
As 0.7106 0.8800 0.7694  4 O 1.71-1.87
As 0.8800 0.7106 0.2694  4 O 1.71-1.87
O 0.1069 0.6108 0.3343  1 As 1.71
O 0.1392 0.1486 0.9471  2 As 1.86-1.87
O 0.1486 0.1392 0.4471  2 As 1.86-1.87
O 0.2928 0.4649 0.8452  1 As 1.73
O 0.3892 0.8931 0.1657  1 As 1.71
O 0.4649 0.2928 0.3452  1 As 1.73
O 0.5351 0.7072 0.6548  1 As 1.73
O 0.6108 0.1069 0.8343  1 As 1.71
O 0.7072 0.5351 0.1548  1 As 1.73
O 0.8514 0.8608 0.5529  2 As 1.86-1.87
O 0.8608 0.8514 0.0529  2 As 1.86-1.87
O 0.8931 0.3892 0.6657  1 As 1.71



# 6
Below is crystalline Sr2TmSn3Au4 at its relaxed geometry, with properties calculated at the PBE level.

Results
The value obtained for the total magnetization is 0.00 μB/cell. The total energy comes out at -3.93 eV/atom. As for the crystal system: tetragonal. As for the formation energy: -0.64 eV/atom. Its density of states at the Fermi level is 0.575 states/eV per atom.

Unit cell a=4.6955 b=4.6955 c=11.8529 alpha=90.00 beta=90.00 gamma=90.00
With the nearest neighbours (Å) after each atom.
Positions (direct):
Sr 0.0000 0.5000 0.2266  4 Sn 3.52, 8 Au 3.57-3.66
Sr 0.5000 0.0000 0.7734  4 Sn 3.52, 8 Au 3.57-3.66
Tm 0.0000 0.0000 0.5000  4 Au 2.89
Sn 0.0000 0.5000 0.8716  5 Au 2.72-2.80
Sn 0.5000 0.0000 0.1284  5 Au 2.72-2.80
Sn 0.5000 0.5000 0.5000  4 Au 2.89
Au 0.0000 0.0000 0.0000  4 Sn 2.80
Au 0.0000 0.5000 0.6425  3 Sn 2.72-2.89, 2 Tm 2.89
Au 0.5000 0.0000 0.3575  3 Sn 2.72-2.89, 2 Tm 2.89
Au 0.5000 0.5000 0.0000  4 Sn 2.80



# 7
Below is crystalline TbDy5Tl3 at its relaxed geometry, with properties calculated at the PBE level.

Results
The value obtained for the total magnetization is 2.35 μB/cell. The total energy comes out at -4.12 eV/atom. As for the crystal system: hexagonal. As for the formation energy: -0.26 eV/atom. Its density of states at the Fermi level is 1.220 states/eV per atom.

Unit cell a=9.3780 b=9.3780 c=6.7249 alpha=90.00 beta=90.00 gamma=120.00
With the nearest neighbours (Å) after each atom.
Positions (direct):
Tb 0.0000 0.0000 0.0000  2 Tb 3.36, 6 Dy 3.55, 6 Tl 3.56
Tb 0.0000 0.0000 0.5000  2 Tb 3.36, 6 Dy 3.55, 6 Tl 3.56
Dy 0.0000 0.3330 0.2500  5 Tl 3.12-3.36
Dy 0.0000 0.6670 0.7500  5 Tl 3.12-3.36
Dy 0.3330 0.0000 0.2500  5 Tl 3.12-3.36
Dy 0.3330 0.3330 0.7500  5 Tl 3.12-3.36
Dy 0.3333 0.6667 0.0000  8 Dy 3.36-3.55, 6 Tl 3.55
Dy 0.3333 0.6667 0.5000  8 Dy 3.36-3.55, 6 Tl 3.55
Dy 0.6670 0.0000 0.7500  5 Tl 3.12-3.36
Dy 0.6667 0.3333 0.0000  8 Dy 3.36-3.55, 6 Tl 3.55
Dy 0.6667 0.3333 0.5000  8 Dy 3.36-3.55, 6 Tl 3.55
Dy 0.6670 0.6670 0.2500  5 Tl 3.12-3.36
Tl 0.0000 0.3342 0.7500  5 Dy 3.12-3.36
Tl 0.0000 0.6658 0.2500  5 Dy 3.12-3.36
Tl 0.3342 0.0000 0.7500  5 Dy 3.12-3.36
Tl 0.3342 0.3342 0.2500  5 Dy 3.12-3.36
Tl 0.6658 0.0000 0.2500  5 Dy 3.12-3.36
Tl 0.6658 0.6658 0.7500  5 Dy 3.12-3.36



# 8
Below is crystalline CaScZn2 at its relaxed geometry, with properties calculated at the PBE level.

Results
The value obtained for the total magnetization is 0.00 μB/cell. The total energy comes out at -2.79 eV/atom. As for the crystal system: monoclinic. As for the formation energy: -0.07 eV/atom. Its density of states at the Fermi level is 0.824 states/eV per atom.

Unit cell a=8.7779 b=3.6334 c=6.3166 alpha=90.00 beta=104.82 gamma=90.00
With the nearest neighbours (Å) after each atom.
Positions (direct):
Ca 0.0000 0.0000 0.0000  6 Zn 3.17-3.27
Ca 0.5000 0.5000 0.0000  6 Zn 3.17-3.27
Sc 0.0000 0.5000 0.5000  6 Zn 2.79-2.82
Sc 0.5000 0.0000 0.5000  6 Zn 2.79-2.82
Zn 0.2433 0.0000 0.6854  3 Sc 2.79-2.82, 2 Zn 2.99
Zn 0.2567 0.5000 0.3146  3 Sc 2.79-2.82, 2 Zn 2.99
Zn 0.7433 0.5000 0.6854  3 Sc 2.79-2.82, 2 Zn 2.99
Zn 0.7567 0.0000 0.3146  3 Sc 2.79-2.82, 2 Zn 2.99



# 9
Below is crystalline CrRh3 at its relaxed geometry, with properties calculated at the PBE level.

Results
The value obtained for the total magnetization is 1.71 μB/cell. The total energy comes out at -7.73 eV/atom. As for the crystal system: cubic. As for the formation energy: 0.19 eV/atom. Its density of states at the Fermi level is 1.369 states/eV per atom.

Unit cell a=4.8436 b=4.8436 c=4.8436 alpha=90.00 beta=90.00 gamma=90.00
With the nearest neighbours (Å) after each atom.
Positions (direct):
Cr 0.0000 0.0000 0.0000  12 Rh 2.71
Cr 0.5000 0.5000 0.5000  12 Rh 2.71
Rh 0.0000 0.2500 0.5000  2 Rh 2.42, 4 Cr 2.71
Rh 0.0000 0.7500 0.5000  2 Rh 2.42, 4 Cr 2.71
Rh 0.2500 0.5000 0.0000  2 Rh 2.42, 4 Cr 2.71
Rh 0.5000 0.0000 0.2500  2 Rh 2.42, 4 Cr 2.71
Rh 0.5000 0.0000 0.7500  2 Rh 2.42, 4 Cr 2.71
Rh 0.7500 0.5000 0.0000  2 Rh 2.42, 4 Cr 2.71



# 10
Below is crystalline Sm8ErTm2 at its relaxed geometry, with properties calculated at the PBE level.

Results
The calculation puts the offset from the most stable computed form at 0 meV/atom. The value obtained for the total magnetization is 0.00 μB/cell. The total energy comes out at -4.64 eV/atom. As for the crystal system: triclinic. As for the formation energy: 0.02 eV/atom. Its density of states at the Fermi level is 1.433 states/eV per atom.

Unit cell a=6.2139 b=6.2167 c=9.5080 alpha=90.10 beta=96.33 gamma=99.58
With the nearest neighbours (Å) after each atom.
Positions (direct):
Sm 0.0468 0.0918 0.1817  8 Sm 3.57-3.60, 2 Tm 3.58, 2 Er 3.58-3.59
Sm 0.1357 0.2736 0.5454  9 Sm 3.57-3.60, 3 Tm 3.59-3.60
Sm 0.2284 0.4551 0.9095  7 Sm 3.57-3.60, 3 Tm 3.57-3.59, 2 Er 3.58-3.59
Sm 0.4103 0.8192 0.6365  8 Sm 3.57-3.60, 3 Tm 3.58-3.61, 1 Er 3.59
Sm 0.5897 0.1808 0.3635  8 Sm 3.57-3.60, 3 Tm 3.58-3.61, 1 Er 3.59
Sm 0.7716 0.5449 0.0905  7 Sm 3.57-3.60, 3 Tm 3.57-3.59, 2 Er 3.58-3.59
Sm 0.8643 0.7264 0.4546  9 Sm 3.57-3.60, 3 Tm 3.59-3.60
Sm 0.9532 0.9082 0.8183  8 Sm 3.57-3.60, 2 Tm 3.58, 2 Er 3.58-3.59
Er 0.5000 0.0000 0.0000  10 Sm 3.58-3.59, 2 Tm 3.58
Tm 0.3177 0.6369 0.2712  11 Sm 3.57-3.61, 1 Er 3.58
Tm 0.6823 0.3631 0.7288  11 Sm 3.57-3.61, 1 Er 3.58



# 11
Below is crystalline Sm3Al3Ga at its relaxed geometry, with properties calculated at the PBE level.

Results
The value obtained for the total magnetization is 1.52 μB/cell. The total energy comes out at -4.52 eV/atom. As for the crystal system: orthorhombic. As for the formation energy: -0.46 eV/atom. Its density of states at the Fermi level is 0.855 states/eV per atom.

Unit cell a=3.9191 b=4.4321 c=19.6830 alpha=90.00 beta=90.00 gamma=90.00
With the nearest neighbours (Å) after each atom.
Positions (direct):
Sm 0.0000 0.0000 0.0000  7 Al 3.14-3.36
Sm 0.0000 0.0000 0.3818  5 Al 3.13-3.39, 2 Ga 3.14
Sm 0.0000 0.5000 0.1930  4 Ga 3.22, 8 Al 3.23-3.37
Sm 0.5000 0.0000 0.6930  4 Ga 3.22, 8 Al 3.23-3.37
Sm 0.5000 0.5000 0.5000  7 Al 3.14-3.36
Sm 0.5000 0.5000 0.8818  5 Al 3.13-3.39, 2 Ga 3.14
Al 0.0000 0.0000 0.5539  2 Al 2.64
Al 0.0000 0.0000 0.8295  2 Ga 2.63
Al 0.0000 0.5000 0.6269  1 Ga 2.56, 2 Al 2.64
Al 0.5000 0.0000 0.1269  1 Ga 2.56, 2 Al 2.64
Al 0.5000 0.5000 0.0539  2 Al 2.64
Al 0.5000 0.5000 0.3295  2 Ga 2.63
Ga 0.0000 0.5000 0.7571  3 Al 2.56-2.63
Ga 0.5000 0.0000 0.2571  3 Al 2.56-2.63



# 12
Below is crystalline TlCd2Os at its relaxed geometry, with properties calculated at the PBE level.

Results
The calculation puts the offset from the most stable computed form at 114 meV/atom. The value obtained for the total magnetization is 1.31 μB/cell. The total energy comes out at -3.27 eV/atom. As for the crystal system: orthorhombic. As for the formation energy: 0.59 eV/atom. Its density of states at the Fermi level is 0.592 states/eV per atom.

Unit cell a=3.1230 b=4.9858 c=11.0073 alpha=90.00 beta=90.00 gamma=90.00
With the nearest neighbours (Å) after each atom.
Positions (direct):
Tl 0.0000 0.0000 0.0000  6 Tl 2.94-3.12
Tl 0.5000 0.5000 0.0000  6 Tl 2.94-3.12
Cd 0.0000 0.5000 0.2861  2 Os 2.82, 6 Cd 2.94-3.12
Cd 0.0000 0.5000 0.7139  2 Os 2.82, 6 Cd 2.94-3.12
Cd 0.5000 0.0000 0.2861  2 Os 2.82, 6 Cd 2.94-3.12
Cd 0.5000 0.0000 0.7139  2 Os 2.82, 6 Cd 2.94-3.12
Os 0.0000 0.0000 0.5000  4 Cd 2.82, 6 Os 2.94-3.12
Os 0.5000 0.5000 0.5000  4 Cd 2.82, 6 Os 2.94-3.12